(1)
A plane-wave DFT calculation with GGA-PBE was carried out for a relaxed structure of ScGe3N.

a = 5.2002 Å, b = 5.2002 Å, c = 5.2002 Å
α = 90.00°, β = 90.00°, γ = 90.00°
Fractional coordinates of all 5 atoms:
Sc 0.0000 0.0000 0.0000
Ge 0.0000 0.0000 0.5000
Ge 0.0000 0.5000 0.0000
Ge 0.5000 0.0000 0.0000
N 0.5000 0.5000 0.5000

Summary:
- space group = Pm-3m
- magnetic moment (μB per atom) = 0.555
- E_form (uncorrected) (eV per atom) = 1.540
- crystal system = cubic
- distance to the lowest polymorph of the same formula (eV per atom) = 1.219
- volume (Å³/f.u.) = 141

=====

(2)
A plane-wave DFT calculation with GGA-PBE was carried out for a relaxed structure of TcAsAu2.

a = 6.7566 Å, b = 6.7566 Å, c = 4.0418 Å
α = 102.99°, β = 102.99°, γ = 24.59°
Fractional coordinates of all 4 atoms:
Tc 0.0000 0.0000 0.0000
As 0.5000 0.5000 0.5000
Au 0.3103 0.3103 0.7916
Au 0.6897 0.6897 0.2084

Summary:
- space group = C2/m
- magnetic moment (μB per atom) = 0.000
- crystal system = monoclinic
- E_tot (eV per formula unit) = -20.8
- volume (Å³/f.u.) = 75

=====

(3)
A plane-wave DFT calculation with GGA-PBE was carried out for a relaxed structure of CaAl2Sb2.

a = 7.9697 Å, b = 7.9697 Å, c = 3.8216 Å
α = 90.00°, β = 90.00°, γ = 90.00°
Fractional coordinates of all 10 atoms:
Ca 0.0000 0.0000 0.0000
Ca 0.5000 0.5000 0.0000
Al 0.1189 0.3811 0.0000
Al 0.3811 0.8811 0.0000
Al 0.6189 0.1189 0.0000
Al 0.8811 0.6189 0.0000
Sb 0.1737 0.6737 0.5000
Sb 0.3263 0.1737 0.5000
Sb 0.6737 0.8263 0.5000
Sb 0.8263 0.3263 0.5000

Summary:
- space group = P4/mbm
- magnetic moment (μB per atom) = 0.000
- E_form (uncorrected) (eV per atom) = -0.189
- crystal system = tetragonal
- distance to the lowest polymorph of the same formula (eV per atom) = 0.087
- volume (Å³/f.u.) = 121

=====

Copy entry 1 word for word.
A plane-wave DFT calculation with GGA-PBE was carried out for a relaxed structure of ScGe3N.

a = 5.2002 Å, b = 5.2002 Å, c = 5.2002 Å
α = 90.00°, β = 90.00°, γ = 90.00°
Fractional coordinates of all 5 atoms:
Sc 0.0000 0.0000 0.0000
Ge 0.0000 0.0000 0.5000
Ge 0.0000 0.5000 0.0000
Ge 0.5000 0.0000 0.0000
N 0.5000 0.5000 0.5000

Summary:
- space group = Pm-3m
- magnetic moment (μB per atom) = 0.555
- E_form (uncorrected) (eV per atom) = 1.540
- crystal system = cubic
- distance to the lowest polymorph of the same formula (eV per atom) = 1.219
- volume (Å³/f.u.) = 141